A geometry-optimized Cs2AlTl structure, computed with PBE.

```
data_Cs2AlTl
_chemical_formula_sum 'Cs8 Al4 Tl4'
_symmetry_space_group_name_H-M 'I -4 2 d'
_symmetry_Int_Tables_number 122
_symmetry_space_group_name_Hall 'I -4 2bw'
_cell_length_a 14.454
_cell_length_b 14.454
_cell_length_c 5.277
_cell_angle_alpha 90.00
_cell_angle_beta 90.00
_cell_angle_gamma 90.00
loop_
_atom_site_label
_atom_site_fract_x
_atom_site_fract_y
_atom_site_fract_z
_atom_site_occupancy
Cs1 0.071 0.750 0.125 1
Al1 0.000 0.000 0.000 1
Tl1 0.000 0.000 0.500 1
```

Calculated values
* raw total energy: -1.759 eV per atom
* relative energy among the computed polymorphs: 0.000 eV per atom
* energy of formation: 0.1952 eV per atom